1.
DFT (PBEsol) results for crystalline BaSr2Ca at its relaxed geometry.

Results
The energy relative to the elements is 7 kJ/mol of formula units. The value obtained for the energy above the most stable polymorph in this dataset is 3.9 meV/atom. For the density, the calculation gives 2.93 Mg/m³. The crystal system is cubic. The magnetic moment comes out at 0.00 μB per cell. As for the space group: No. 216.

abc: 6.5647 6.5647 6.5647
angles: 60.00 60.00 60.00
Positions (direct):
Ba1 0.0000 0.0000 0.0000
Sr1 0.5000 0.5000 0.5000
Sr2 0.7500 0.7500 0.7500
Ca1 0.2500 0.2500 0.2500


2.
DFT (PBEsol) results for crystalline Y3Ag at its relaxed geometry.

Results
The energy relative to the elements is 34 kJ/mol of formula units. The value obtained for the energy above the most stable polymorph in this dataset is 229.3 meV/atom. For the density, the calculation gives 5.92 Mg/m³. The crystal system is trigonal. The magnetic moment comes out at 0.00 μB per cell. As for the space group: No. 166.

abc: 6.0939 6.0939 6.0939
angles: 116.66 116.66 116.66
Positions (direct):
Y1 0.0000 0.5000 0.5000
Y2 0.5000 0.0000 0.5000
Y3 0.5000 0.5000 0.0000
Ag1 0.0000 0.0000 0.0000


3.
DFT (PBEsol) results for crystalline Ti2P at its relaxed geometry.

Results
The energy relative to the elements is -328 kJ/mol of formula units. For the density, the calculation gives 4.90 Mg/m³. The crystal system is hexagonal. The magnetic moment comes out at 0.00 μB per cell. As for the space group: No. 189.

abc: 6.5532 6.5532 3.4616
angles: 90.00 90.00 120.00
Positions (direct):
Ti1 0.0000 0.4084 0.0000
Ti2 0.0000 0.7454 0.5000
Ti3 0.2546 0.2546 0.5000
Ti4 0.4084 0.0000 0.0000
Ti5 0.5916 0.5916 0.0000
Ti6 0.7454 0.0000 0.5000
P1 0.0000 0.0000 0.0000
P2 0.3333 0.6667 0.5000
P3 0.6667 0.3333 0.5000


4.
DFT (PBEsol) results for crystalline ScNbZn2Co at its relaxed geometry.

Results
The energy relative to the elements is 556 kJ/mol of formula units. For the density, the calculation gives 6.14 Mg/m³. The crystal system is tetragonal. The magnetic moment comes out at 0.19 μB per cell. As for the space group: No. 123.

abc: 4.6792 4.6792 4.0440
angles: 90.00 90.00 90.00
Positions (direct):
Sc1 0.0000 0.0000 0.0000
Nb1 0.5000 0.5000 0.5000
Zn1 0.0000 0.5000 0.0000
Zn2 0.5000 0.0000 0.0000
Co1 0.0000 0.0000 0.5000


5.
DFT (PBEsol) results for crystalline Li3SbP2O8 at its relaxed geometry.

Results
The value obtained for the energy above the most stable polymorph in this dataset is 25.2 meV/atom. For the density, the calculation gives 3.54 Mg/m³. The crystal system is trigonal. Its formation energy from raw total energies is -2.127 eV per atom. The magnetic moment comes out at 0.00 μB per cell. As for the space group: No. 146.

abc: 8.2228 8.2228 8.2228
angles: 69.09 69.09 69.09
Positions (direct):
Li1 0.0000 0.0000 0.0000
Li2 0.0658 0.3187 0.8282
Li3 0.1547 0.1547 0.1547
Li4 0.3080 0.9186 0.5376
Li5 0.3187 0.8282 0.0658
Li6 0.5376 0.3080 0.9186
Li7 0.6638 0.6638 0.6638
Li8 0.8282 0.0658 0.3187
Li9 0.9186 0.5376 0.3080
Sb1 0.3234 0.3234 0.3234
Sb2 0.5075 0.5075 0.5075
Sb3 0.8161 0.8161 0.8161
P1 0.0804 0.7557 0.4193
P2 0.2364 0.5736 0.9064
P3 0.4193 0.0804 0.7557
P4 0.5736 0.9064 0.2364
P5 0.7557 0.4193 0.0804
P6 0.9064 0.2364 0.5736
O1 0.0639 0.2721 0.3960
O2 0.0717 0.9241 0.2590
O3 0.1013 0.5527 0.8327
O4 0.1101 0.5910 0.3541
O5 0.1803 0.7457 0.9641
O6 0.2302 0.7409 0.4982
O7 0.2590 0.0717 0.9241
O8 0.2721 0.3960 0.0639
O9 0.3541 0.1101 0.5910
O10 0.3960 0.0639 0.2721
O11 0.4300 0.5657 0.7618
O12 0.4982 0.2302 0.7409
O13 0.5527 0.8327 0.1013
O14 0.5657 0.7618 0.4300
O15 0.5667 0.8929 0.7625
O16 0.5910 0.3541 0.1101
O17 0.7409 0.4982 0.2302
O18 0.7457 0.9641 0.1803
O19 0.7618 0.4300 0.5657
O20 0.7625 0.5667 0.8929
O21 0.8327 0.1013 0.5527
O22 0.8929 0.7625 0.5667
O23 0.9241 0.2590 0.0717
O24 0.9641 0.1803 0.7457


6.
DFT (PBEsol) results for crystalline BeFeAg2 at its relaxed geometry.

Results
The energy relative to the elements is 162 kJ/mol of formula units. For the density, the calculation gives 8.48 Mg/m³. The crystal system is orthorhombic. The magnetic moment comes out at 2.52 μB per cell. As for the space group: No. 47.

abc: 2.7742 4.4055 4.4961
angles: 90.00 90.00 90.00
Positions (direct):
Be1 0.0000 0.0000 0.0000
Fe1 0.5000 0.0000 0.5000
Ag1 0.0000 0.5000 0.5000
Ag2 0.5000 0.5000 0.0000


7.
DFT (PBEsol) results for crystalline Pm2SiAu at its relaxed geometry.

Results
For the density, the calculation gives 9.10 Mg/m³. The crystal system is cubic. Its formation energy from raw total energies is -0.641 eV per atom. The magnetic moment comes out at 0.54 μB per cell. As for the space group: No. 225.

abc: 5.1031 5.1031 5.1031
angles: 60.00 60.00 60.00
Positions (direct):
Pm1 0.2500 0.2500 0.2500
Pm2 0.7500 0.7500 0.7500
Si1 0.0000 0.0000 0.0000
Au1 0.5000 0.5000 0.5000


8.
DFT (PBEsol) results for crystalline Tc2PtSe at its relaxed geometry.

Results
For the density, the calculation gives 13.24 Mg/m³. The crystal system is monoclinic. Its formation energy from raw total energies is 0.170 eV per atom. The magnetic moment comes out at 0.00 μB per cell. As for the space group: No. 10.

abc: 2.9544 3.9115 5.2874
angles: 90.00 105.20 90.00
Positions (direct):
Tc1 0.1276 0.0000 0.2604
Tc2 0.8724 0.0000 0.7396
Pt1 0.5000 0.5000 0.0000
Se1 0.5000 0.5000 0.5000


9.
DFT (PBEsol) results for crystalline Y2CoOs at its relaxed geometry.

Results
The energy relative to the elements is 79 kJ/mol of formula units. For the density, the calculation gives 9.48 Mg/m³. The crystal system is tetragonal. The magnetic moment comes out at 0.90 μB per cell. As for the space group: No. 119.

abc: 5.5380 5.5380 5.5380
angles: 138.16 138.16 60.66
Positions (direct):
Y1 0.0000 0.0000 0.0000
Y2 0.7500 0.2500 0.5000
Co1 0.5000 0.5000 0.0000
Os1 0.2500 0.7500 0.5000


10.
DFT (PBEsol) results for crystalline CaFeGe2O6 at its relaxed geometry.

Results
For the density, the calculation gives 4.74 Mg/m³. The crystal system is monoclinic. Its formation energy from raw total energies is -1.858 eV per atom. The magnetic moment comes out at 8.05 μB per cell. As for the space group: No. 15.

abc: 6.7750 6.7750 5.3420
angles: 99.68 99.68 81.44
Positions (direct):
Ca1 0.1900 0.8100 0.7500
Ca2 0.8100 0.1900 0.2500
Fe1 0.4212 0.5788 0.2500
Fe2 0.5788 0.4212 0.7500
Ge1 0.1100 0.3187 0.7694
Ge2 0.3187 0.1100 0.2694
Ge3 0.6813 0.8900 0.7306
Ge4 0.8900 0.6813 0.2306
O1 0.1079 0.1738 0.0230
O2 0.1368 0.6016 0.3524
O3 0.1738 0.1079 0.5230
O4 0.2899 0.4858 0.8617
O5 0.3984 0.8632 0.1476
O6 0.4858 0.2899 0.3617
O7 0.5142 0.7101 0.6383
O8 0.6016 0.1368 0.8524
O9 0.7101 0.5142 0.1383
O10 0.8262 0.8921 0.4770
O11 0.8632 0.3984 0.6476
O12 0.8921 0.8262 0.9770


11.
DFT (PBEsol) results for crystalline LiZnIn2 at its relaxed geometry.

Results
The energy relative to the elements is -40 kJ/mol of formula units. For the density, the calculation gives 6.44 Mg/m³. The crystal system is orthorhombic. The magnetic moment comes out at 0.00 μB per cell. As for the space group: No. 47.

abc: 3.2246 4.0118 6.0213
angles: 90.00 90.00 90.00
Positions (direct):
Li1 0.0000 0.0000 0.0000
Zn1 0.0000 0.0000 0.5000
In1 0.5000 0.5000 0.2522
In2 0.5000 0.5000 0.7478


12.
DFT (PBEsol) results for crystalline MgZr2CdS at its relaxed geometry.

Results
For the density, the calculation gives 5.09 Mg/m³. The crystal system is tetragonal. Its formation energy from raw total energies is -0.188 eV per atom. The magnetic moment comes out at 0.00 μB per cell. As for the space group: No. 123.

abc: 4.7790 4.7790 5.0189
angles: 90.00 90.00 90.00
Positions (direct):
Mg1 0.0000 0.0000 0.0000
Zr1 0.0000 0.5000 0.5000
Zr2 0.5000 0.0000 0.5000
Cd1 0.5000 0.5000 0.0000
S1 0.5000 0.5000 0.5000